Entry from the Alexandria database: a PBEsol-optimized structure of Y2TlAg (SCAN).

Values from the calculation:
As for the calculated total energy: -40.3588 eV per atom. The energy above the lowest structure with this stoichiometry comes out at 5.0 kJ/mol of atoms. As for the formation energy from the elements: -506.0 meV/atom.

Unit cell a=3.7602 b=4.7087 c=5.9892 alpha=90.00 beta=107.83 gamma=90.00
Space group Pm (No. 6)
Unique sites:
Y1 0.0000 0.0000 0.0000
Y2 0.2933 0.5000 0.5935
Tl1 0.7244 0.0000 0.4559
Ag1 0.5666 0.5000 0.1338